# 1
First-principles (PBEsol) data for a geometry-optimized Dy3Pt4 structure, as listed in Alexandria.

Output
The energy of formation from the pure elements comes out at -1.191 eV per atom. The total magnetization comes out at 0.0 μB per formula unit. The total energy is -7.304 eV per atom.

Structure (CIF):
```
data_Dy3Pt4
_symmetry_space_group_name_H-M 'P 1'
_symmetry_Int_Tables_number 1
_cell_length_a 7.7416
_cell_length_b 7.7416
_cell_length_c 7.7416
_cell_angle_alpha 114.28
_cell_angle_beta 114.28
_cell_angle_gamma 114.28
loop_
_symmetry_equiv_pos_as_xyz
'x,y,z'
loop_
_atom_site_label
_atom_site_type_symbol
_atom_site_fract_x
_atom_site_fract_y
_atom_site_fract_z
_atom_site_occupancy
Dy1 Dy 0.0268 0.4052 0.2800 1
Dy2 Dy 0.2800 0.0268 0.4052 1
Dy3 Dy 0.4052 0.2800 0.0268 1
Dy4 Dy 0.5948 0.7200 0.9732 1
Dy5 Dy 0.7200 0.9732 0.5948 1
Dy6 Dy 0.9732 0.5948 0.7200 1
Pt1 Pt 0.0000 0.0000 0.0000 1
Pt2 Pt 0.0607 0.2258 0.5507 1
Pt3 Pt 0.2258 0.5507 0.0607 1
Pt4 Pt 0.4493 0.9393 0.7742 1
Pt5 Pt 0.5000 0.5000 0.5000 1
Pt6 Pt 0.5507 0.0607 0.2258 1
Pt7 Pt 0.7742 0.4493 0.9393 1
Pt8 Pt 0.9393 0.7742 0.4493 1
```



# 2
First-principles (PBEsol) data for a geometry-optimized DyPt2 structure, as listed in Alexandria.

Output
The energy of formation from the pure elements comes out at -1.119 eV per atom. The total magnetization comes out at 0.0 μB per formula unit. The total energy is -7.421 eV per atom.

Structure (CIF):
```
data_DyPt2
_symmetry_space_group_name_H-M 'P 1'
_symmetry_Int_Tables_number 1
_cell_length_a 5.3561
_cell_length_b 5.3561
_cell_length_c 5.3561
_cell_angle_alpha 60.00
_cell_angle_beta 60.00
_cell_angle_gamma 60.00
loop_
_symmetry_equiv_pos_as_xyz
'x,y,z'
loop_
_atom_site_label
_atom_site_type_symbol
_atom_site_fract_x
_atom_site_fract_y
_atom_site_fract_z
_atom_site_occupancy
Dy1 Dy 0.1250 0.1250 0.1250 1
Dy2 Dy 0.8750 0.8750 0.8750 1
Pt1 Pt 0.0000 0.5000 0.5000 1
Pt2 Pt 0.5000 0.0000 0.5000 1
Pt3 Pt 0.5000 0.5000 0.0000 1
Pt4 Pt 0.5000 0.5000 0.5000 1
```



# 3
First-principles (PBEsol) data for a geometry-optimized Dy5Pt3 structure, as listed in Alexandria.

Output
The energy of formation from the pure elements comes out at -0.980 eV per atom. The total magnetization comes out at 0.0 μB per formula unit. The total energy is -6.703 eV per atom.

Structure (CIF):
```
data_Dy5Pt3
_symmetry_space_group_name_H-M 'P 1'
_symmetry_Int_Tables_number 1
_cell_length_a 8.3249
_cell_length_b 8.3249
_cell_length_c 6.0500
_cell_angle_alpha 90.00
_cell_angle_beta 90.00
_cell_angle_gamma 120.00
loop_
_symmetry_equiv_pos_as_xyz
'x,y,z'
loop_
_atom_site_label
_atom_site_type_symbol
_atom_site_fract_x
_atom_site_fract_y
_atom_site_fract_z
_atom_site_occupancy
Dy1 Dy 0.0000 0.2460 0.2500 1
Dy2 Dy 0.0000 0.7540 0.7500 1
Dy3 Dy 0.2460 0.0000 0.2500 1
Dy4 Dy 0.2460 0.2460 0.7500 1
Dy5 Dy 0.3333 0.6667 0.0000 1
Dy6 Dy 0.3333 0.6667 0.5000 1
Dy7 Dy 0.6667 0.3333 0.0000 1
Dy8 Dy 0.6667 0.3333 0.5000 1
Dy9 Dy 0.7540 0.0000 0.7500 1
Dy10 Dy 0.7540 0.7540 0.2500 1
Pt1 Pt 0.0000 0.3950 0.7500 1
Pt2 Pt 0.0000 0.6050 0.2500 1
Pt3 Pt 0.3950 0.0000 0.7500 1
Pt4 Pt 0.3950 0.3950 0.2500 1
Pt5 Pt 0.6050 0.0000 0.2500 1
Pt6 Pt 0.6050 0.6050 0.7500 1
```



# 4
First-principles (PBEsol) data for a geometry-optimized DyPt3 structure, as listed in Alexandria.

Output
The energy of formation from the pure elements comes out at -1.022 eV per atom. The total magnetization comes out at 0.0 μB per formula unit. The total energy is -7.489 eV per atom.

Structure (CIF):
```
data_DyPt3
_symmetry_space_group_name_H-M 'P 1'
_symmetry_Int_Tables_number 1
_cell_length_a 4.0544
_cell_length_b 4.0544
_cell_length_c 4.0544
_cell_angle_alpha 90.00
_cell_angle_beta 90.00
_cell_angle_gamma 90.00
loop_
_symmetry_equiv_pos_as_xyz
'x,y,z'
loop_
_atom_site_label
_atom_site_type_symbol
_atom_site_fract_x
_atom_site_fract_y
_atom_site_fract_z
_atom_site_occupancy
Dy1 Dy 0.0000 0.0000 0.0000 1
Pt1 Pt 0.0000 0.5000 0.5000 1
Pt2 Pt 0.5000 0.0000 0.5000 1
Pt3 Pt 0.5000 0.5000 0.0000 1
```



# 5
First-principles (PBEsol) data for a geometry-optimized DySbPt structure, as listed in Alexandria.

Output
For the uncorrected formation energy, the calculation gives -1.2341 eV/atom. The total magnetization comes out at 0.0 μB per formula unit. The total energy is -6.734 eV per atom.

Structure (CIF):
```
data_DySbPt
_symmetry_space_group_name_H-M 'P 1'
_symmetry_Int_Tables_number 1
_cell_length_a 4.6081
_cell_length_b 4.6081
_cell_length_c 4.6081
_cell_angle_alpha 60.00
_cell_angle_beta 60.00
_cell_angle_gamma 60.00
loop_
_symmetry_equiv_pos_as_xyz
'x,y,z'
loop_
_atom_site_label
_atom_site_type_symbol
_atom_site_fract_x
_atom_site_fract_y
_atom_site_fract_z
_atom_site_occupancy
Dy1 Dy 0.0000 0.0000 0.0000 1
Sb1 Sb 0.5000 0.5000 0.5000 1
Pt1 Pt 0.2500 0.2500 0.2500 1
```



# 6
First-principles (PBEsol) data for a geometry-optimized DySnPt structure, as listed in Alexandria.

Output
The energy of formation from the pure elements comes out at -1.125 eV per atom. The total magnetization comes out at 0.0 μB per formula unit. The total energy is -6.525 eV per atom.

Structure (CIF):
```
data_DySnPt
_symmetry_space_group_name_H-M 'P 1'
_symmetry_Int_Tables_number 1
_cell_length_a 7.4056
_cell_length_b 7.4056
_cell_length_c 3.9651
_cell_angle_alpha 90.00
_cell_angle_beta 90.00
_cell_angle_gamma 120.00
loop_
_symmetry_equiv_pos_as_xyz
'x,y,z'
loop_
_atom_site_label
_atom_site_type_symbol
_atom_site_fract_x
_atom_site_fract_y
_atom_site_fract_z
_atom_site_occupancy
Dy1 Dy 0.0000 0.4062 0.0000 1
Dy2 Dy 0.4062 0.0000 0.0000 1
Dy3 Dy 0.5938 0.5938 0.0000 1
Sn1 Sn 0.0000 0.7409 0.5000 1
Sn2 Sn 0.2591 0.2591 0.5000 1
Sn3 Sn 0.7409 0.0000 0.5000 1
Pt1 Pt 0.0000 0.0000 0.0000 1
Pt2 Pt 0.3333 0.6667 0.5000 1
Pt3 Pt 0.6667 0.3333 0.5000 1
```